# Au2SN | the Alexandria database | GGA-PBE | relaxed
# Formation energy (no corrections), eV per formula unit: 2.166
# Energy above the most stable polymorph in this dataset, meV/atom: 17
data_Au2SN
_chemical_formula_sum 'Au4 S2 N2'
_cell_length_a 7.304
_cell_length_b 7.412
_cell_length_c 3.500
_cell_angle_alpha 90.00
_cell_angle_beta 110.59
_cell_angle_gamma 90.00
_space_group_name_H-M_alt 'C 1 m 1'
_space_group_IT_number 8
loop_
_space_group_symop_operation_xyz
'x,y,z'
'x,-y,z'
'x+1/2,y+1/2,z'
'x+1/2,-y+1/2,z'
loop_
_atom_site_label
_atom_site_type_symbol
_atom_site_fract_x
_atom_site_fract_y
_atom_site_fract_z
Au1 Au 0.000 0.239 0.000
S1 S 0.325 0.000 0.874
N1 N 0.156 0.000 0.085